# PBE MgCu, relaxed
data_MgCu
_cell_length_a 3.2367
_cell_length_b 4.3627
_cell_length_c 8.9397
_cell_angle_alpha 90.00
_cell_angle_beta 90.00
_cell_angle_gamma 90.00
_symmetry_space_group_name_H-M 'I m m a'
_symmetry_Int_Tables_number 74
_symmetry_space_group_name_Hall '-I 2b 2'
loop_
_atom_site_label
_atom_site_fract_x
_atom_site_fract_y
_atom_site_fract_z
Mg1 0.0000 0.2500 0.1103
Cu1 0.0000 0.2500 0.6436
# ΔH_f (0 K): -74 meV per atom
# volume: 15.780 A^3/atom
# ρ: 4.62 Mg/m³

=====

# PBE MgCu, relaxed
data_MgCu
_cell_length_a 2.9922
_cell_length_b 4.2490
_cell_length_c 5.2858
_cell_angle_alpha 90.00
_cell_angle_beta 105.43
_cell_angle_gamma 90.00
_symmetry_space_group_name_H-M 'P 1 21/m 1'
_symmetry_Int_Tables_number 11
loop_
_symmetry_equiv_pos_as_xyz
'x,y,z'
'-x,-y,-z'
'-x,y+1/2,-z'
'x,-y+1/2,z'
loop_
_atom_site_label
_atom_site_fract_x
_atom_site_fract_y
_atom_site_fract_z
Mg1 0.1525 0.2500 0.3161
Cu1 0.4382 0.2500 0.8645
# ΔH_f (0 K): -76 meV per atom
# volume: 16.195 A^3/atom
# ρ: 4.50 Mg/m³

=====

# PBE Mg3Cu2, relaxed
data_Mg3Cu2
_cell_length_a 4.4384
_cell_length_b 4.4384
_cell_length_c 5.3942
_cell_angle_alpha 90.00
_cell_angle_beta 90.00
_cell_angle_gamma 120.00
_symmetry_space_group_name_H-M 'P -3 m 1'
_symmetry_Int_Tables_number 164
_symmetry_space_group_name_Hall '-P 3 2"'
loop_
_atom_site_label
_atom_site_fract_x
_atom_site_fract_y
_atom_site_fract_z
Mg1 0.0000 0.0000 0.0000
Mg2 0.3333 0.6667 0.3520
Cu1 0.3333 0.6667 0.8648
# ΔH_f (0 K): -46 meV per atom
# volume: 18.405 A^3/atom
# ΔE to the lowest computed polymorph: 0.036 eV per atom
# ρ: 3.61 Mg/m³

=====

# PBE Mg4Cu3, relaxed
data_Mg4Cu3
_cell_length_a 3.1500
_cell_length_b 3.1500
_cell_length_c 23.9866
_cell_angle_alpha 90.00
_cell_angle_beta 90.00
_cell_angle_gamma 90.00
_symmetry_space_group_name_H-M 'I 4/m m m'
_symmetry_Int_Tables_number 139
_symmetry_space_group_name_Hall '-I 4 2'
loop_
_atom_site_label
_atom_site_fract_x
_atom_site_fract_y
_atom_site_fract_z
Mg1 0.0000 0.0000 0.0652
Mg2 0.0000 0.0000 0.3405
Cu1 0.0000 0.0000 0.2248
Cu2 0.0000 0.0000 0.5000
# ΔH_f (0 K): -61 meV per atom
# volume: 17.001 A^3/atom
# ΔE to the lowest computed polymorph: 0.004 eV per atom
# ρ: 4.02 Mg/m³

=====

# PBE Mg2Cu, relaxed
data_Mg2Cu
_cell_length_a 3.9974
_cell_length_b 3.9974
_cell_length_c 7.1012
_cell_angle_alpha 90.00
_cell_angle_beta 90.00
_cell_angle_gamma 90.00
_symmetry_space_group_name_H-M 'P 4/n m m'
_symmetry_Int_Tables_number 129
loop_
_symmetry_equiv_pos_as_xyz
'x,y,z'
'-x,-y,-z'
'-y+1/2,x,z'
'y+1/2,-x,-z'
'-x+1/2,-y+1/2,z'
'x+1/2,y+1/2,-z'
'y,-x+1/2,z'
'-y,x+1/2,-z'
'x+1/2,-y,-z'
'-x+1/2,y,z'
'-y,-x,-z'
'y,x,z'
'-x,y+1/2,-z'
'x,-y+1/2,z'
'y+1/2,x+1/2,-z'
'-y+1/2,-x+1/2,z'
loop_
_atom_site_label
_atom_site_fract_x
_atom_site_fract_y
_atom_site_fract_z
Mg1 0.2500 0.2500 0.1370
Mg2 0.2500 0.7500 0.5000
Cu1 0.2500 0.2500 0.7580
# ΔH_f (0 K): 23 meV per atom
# volume: 18.912 A^3/atom
# ρ: 3.28 Mg/m³

=====

# PBE MgCu, relaxed
data_MgCu
_cell_length_a 2.9473
_cell_length_b 8.2979
_cell_length_c 8.5789
_cell_angle_alpha 90.00
_cell_angle_beta 90.00
_cell_angle_gamma 90.00
_symmetry_space_group_name_H-M 'A m m 2'
_symmetry_Int_Tables_number 38
loop_
_symmetry_equiv_pos_as_xyz
'x,y,z'
'-x,-y,z'
'-x,y,z'
'x,-y,z'
'x,y+1/2,z+1/2'
'-x,-y+1/2,z+1/2'
'-x,y+1/2,z+1/2'
'x,-y+1/2,z+1/2'
loop_
_atom_site_label
_atom_site_fract_x
_atom_site_fract_y
_atom_site_fract_z
Mg1 0.0000 0.0000 0.0000
Mg2 0.0000 0.1864 0.3259
Cu1 0.0000 0.0000 0.6283
Cu2 0.5000 0.2361 0.5798
# ΔH_f (0 K): 89 meV per atom
# volume: 17.484 A^3/atom
# ρ: 4.17 Mg/m³